The following is a DFT calculation (GGA-PBE) of a relaxed LiYSc2N crystal.

Cell and atoms, written as extended XYZ:
```
5
Lattice="4.437 0.000 0.000 0.000 4.437 0.000 0.000 0.000 4.991" Properties=species:S:1:pos:R:3 pbc="T T T"
Li 0.000 0.000 0.000
Y 2.219 2.219 0.000
Sc 0.000 2.219 2.495
Sc 2.219 0.000 2.495
N 2.219 2.219 2.495
```

* total DFT energy (no corrections): -6.512 eV/atom
* symmetry: P4/mmm, No. 123
* ΔE_f (raw): -0.6392 eV/atom